1.
An optimized crystal structure of Ce2Pr2N3. Source: Alexandria, functional PBE.

Results
Total magnetization, μB per atom: 0.11
ΔE_f (raw), eV per atom: -1.169

The structure in CIF format:
```
data_Ce2Pr2N3
_chemical_formula_sum 'Ce4 Pr4 N6'
_space_group_name_H-M_alt 'C 1 2/m 1'
_space_group_IT_number 12
_space_group_name_Hall '-C 2y'
_cell_length_a 12.114
_cell_length_b 3.590
_cell_length_c 6.363
_cell_angle_alpha 90.00
_cell_angle_beta 100.01
_cell_angle_gamma 90.00
loop_
_atom_site_label
_atom_site_fract_x
_atom_site_fract_y
_atom_site_fract_z
Ce1 0.127 0.000 0.390
Pr1 0.134 0.500 0.869
N1 0.000 0.500 0.500
N2 0.248 0.500 0.274
```

=====

2.
An optimized crystal structure of CePr2N3. Source: Alexandria, functional PBE.

Results
Energy relative to the lowest polymorph listed for this composition, meV per atom: 322.6
Total magnetization, μB per atom: 0.04
ΔE_f (raw), eV per atom: -1.063

The structure in CIF format:
```
data_CePr2N3
_chemical_formula_sum 'Ce4 Pr8 N12'
_space_group_name_H-M_alt 'C 1 2/m 1'
_space_group_IT_number 12
_space_group_name_Hall '-C 2y'
_cell_length_a 13.783
_cell_length_b 3.577
_cell_length_c 8.922
_cell_angle_alpha 90.00
_cell_angle_beta 109.08
_cell_angle_gamma 90.00
loop_
_atom_site_label
_atom_site_fract_x
_atom_site_fract_y
_atom_site_fract_z
Ce1 0.000 0.000 0.000
Ce2 0.000 0.500 0.500
Pr1 0.166 0.000 0.831
Pr2 0.167 0.500 0.336
N1 0.024 0.000 0.313
N2 0.125 0.500 0.028
N3 0.187 0.500 0.637
```

=====

3.
An optimized crystal structure of CePr4N4. Source: Alexandria, functional PBE.

Results
Energy relative to the lowest polymorph listed for this composition, meV per atom: 497.5
Total magnetization, μB per atom: 0.36
ΔE_f (raw), eV per atom: -0.697

The structure in CIF format:
```
data_CePr4N4
_chemical_formula_sum 'Ce2 Pr8 N8'
_space_group_name_H-M_alt 'I -4 2 m'
_space_group_IT_number 121
_space_group_name_Hall 'I -4 2'
_cell_length_a 5.935
_cell_length_b 5.935
_cell_length_c 11.358
_cell_angle_alpha 90.00
_cell_angle_beta 90.00
_cell_angle_gamma 90.00
loop_
_atom_site_label
_atom_site_fract_x
_atom_site_fract_y
_atom_site_fract_z
Ce1 0.000 0.000 0.000
Pr1 0.000 0.000 0.283
Pr2 0.000 0.500 0.000
N1 0.230 0.230 0.122
```

=====

4.
An optimized crystal structure of CePr3N3. Source: Alexandria, functional PBE.

Results
Energy relative to the lowest polymorph listed for this composition, meV per atom: 120.5
Total magnetization, μB per atom: 0.00
ΔE_f (raw), eV per atom: -0.905

The structure in CIF format:
```
data_CePr3N3
_chemical_formula_sum 'Ce4 Pr12 N12'
_space_group_name_H-M_alt 'C 1 2/m 1'
_space_group_IT_number 12
_space_group_name_Hall '-C 2y'
_cell_length_a 7.695
_cell_length_b 10.596
_cell_length_c 7.772
_cell_angle_alpha 90.00
_cell_angle_beta 102.02
_cell_angle_gamma 90.00
loop_
_atom_site_label
_atom_site_fract_x
_atom_site_fract_y
_atom_site_fract_z
Ce1 0.201 0.000 0.199
Pr1 0.000 0.310 0.500
Pr2 0.000 0.332 0.000
Pr3 0.173 0.000 0.653
N1 0.006 0.500 0.246
N2 0.157 0.135 0.396
```

=====

Please write out number 4 again, unchanged.
An optimized crystal structure of CePr3N3. Source: Alexandria, functional PBE.

Results
Energy relative to the lowest polymorph listed for this composition, meV per atom: 120.5
Total magnetization, μB per atom: 0.00
ΔE_f (raw), eV per atom: -0.905

The structure in CIF format:
```
data_CePr3N3
_chemical_formula_sum 'Ce4 Pr12 N12'
_space_group_name_H-M_alt 'C 1 2/m 1'
_space_group_IT_number 12
_space_group_name_Hall '-C 2y'
_cell_length_a 7.695
_cell_length_b 10.596
_cell_length_c 7.772
_cell_angle_alpha 90.00
_cell_angle_beta 102.02
_cell_angle_gamma 90.00
loop_
_atom_site_label
_atom_site_fract_x
_atom_site_fract_y
_atom_site_fract_z
Ce1 0.201 0.000 0.199
Pr1 0.000 0.310 0.500
Pr2 0.000 0.332 0.000
Pr3 0.173 0.000 0.653
N1 0.006 0.500 0.246
N2 0.157 0.135 0.396
```